## HfCdAu (PBE)

Data for an optimized crystal structure of HfCdAu.

POSCAR file:
```
HfCdAu
1.0
0.000 3.277 3.277
3.277 0.000 3.277
3.277 3.277 0.000
Hf Cd Au
1 1 1
Direct
0.000 0.000 0.000
0.250 0.250 0.250
0.750 0.750 0.750
```

Summary:
V (Å³/atom): 23.46
ΔH_f (0 K) (eV/atom): 0.189
Uncorrected energy (eV per atom): -4.52